(1)
# AcTb2ThSe4

A geometry-optimized AcTb2ThSe4 structure (GGA-PBE, Alexandria).

Computed properties:
Final energy (eV per atom): -6.054
Space-group type: P2/m (10)

abc: 4.137 7.485 7.207
angles: 71.37 90.00 90.00
Positions (direct):
1 Ac 0.500 0.500 0.000
2 Tb 0.000 0.000 0.000
3 Tb 0.500 0.000 0.500
4 Th 0.000 0.500 0.500
5 Se 0.000 0.773 0.736
6 Se 0.000 0.227 0.264
7 Se 0.500 0.768 0.251
8 Se 0.500 0.232 0.749

=====

(2)
# AcTbTl2Se4

A geometry-optimized AcTbTl2Se4 structure (GGA-PBE, Alexandria).

Computed properties:
Final energy (eV per atom): -4.825
Space-group type: P2/m (10)

abc: 4.388 7.616 8.143
angles: 108.03 90.00 90.00
Positions (direct):
1 Ac 0.500 0.500 0.000
2 Tb 0.000 0.000 0.000
3 Tl 0.500 0.000 0.500
4 Tl 0.000 0.500 0.500
5 Se 0.500 0.220 0.207
6 Se 0.500 0.780 0.793
7 Se 0.000 0.245 0.786
8 Se 0.000 0.755 0.214